1.
An optimized crystal structure of PmBeGaCu. Source: Alexandria, functional GGA-PBE.

Output
**Magnetic moment**: 0.000 μB/atom
**N(E_F)**: 6.1 states/eV/cell
**DFT total energy**: -4.040 eV/atom

Cell: 6.453 6.453 6.453 Å, 90.00 90.00 90.00°
Space group F-43m (No. 216)
Asymmetric unit:
Pm  0.000  0.000  0.000 x4
Be  0.250  0.250  0.750 x4
Ga  0.000  0.000  0.500 x4
Cu  0.250  0.250  0.250 x4



2.
An optimized crystal structure of PmBeGa2Cu4. Source: Alexandria, functional GGA-PBE.

Output
**Magnetic moment**: 0.000 μB/atom
**N(E_F)**: 9.4 states/eV/cell
**DFT total energy**: -4.072 eV/atom

Cell: 4.1091 4.1091 25.0699 Å, 90.00 90.00 120.00°
Space group R-3m (No. 166, hexagonal axes)
Asymmetric unit:
Pm  0.0000  0.0000  0.0000 x3
Be  0.0000  0.0000  0.5000 x3
Ga  0.0000  0.0000  0.2438 x6
Cu  0.0000  0.0000  0.1397 x6
Cu  0.0000  0.0000  0.4114 x6



3.
An optimized crystal structure of Pm2BeGa3Cu4. Source: Alexandria, functional GGA-PBE.

Output
**Magnetic moment**: 0.000 μB/atom
**N(E_F)**: 5.9 states/eV/cell
**DFT total energy**: -4.213 eV/atom

Cell: 4.168 4.168 9.904 Å, 90.00 90.00 90.00°
Space group P-4m2 (No. 115)
Asymmetric unit:
Pm  0.000  0.500  0.246 x2
Be  0.500  0.500  0.000 x1
Ga  0.000  0.000  0.000 x1
Ga  0.000  0.500  0.636 x2
Cu  0.000  0.000  0.500 x1
Cu  0.000  0.500  0.880 x2
Cu  0.500  0.500  0.500 x1



4.
An optimized crystal structure of PmBeGa4Cu2. Source: Alexandria, functional GGA-PBE.

Output
**Magnetic moment**: 0.000 μB/atom
**N(E_F)**: 7.2 states/eV/cell
**DFT total energy**: -3.770 eV/atom

Cell: 4.2160 4.2160 25.8501 Å, 90.00 90.00 120.00°
Space group R-3m (No. 166, hexagonal axes)
Asymmetric unit:
Pm  0.0000  0.0000  0.0000 x3
Be  0.0000  0.0000  0.5000 x3
Ga  0.0000  0.0000  0.1302 x6
Ga  0.0000  0.0000  0.4032 x6
Cu  0.0000  0.0000  0.2349 x6